1.
Density functional theory data (PBE-GGA) for an optimized crystal structure of Hg15Sb.

Cell: 7.7114 7.7114 8.8588 Å, 90.00 90.00 120.00°
Space group P-6m2 (No. 187)
Asymmetric unit:
Hg 0.0000 0.0000 0.0000 x1
Hg 0.0206 0.5103 0.5000 x3
Hg 0.3275 0.1637 0.2563 x6
Hg 0.3333 0.6667 0.2208 x2
Hg 0.5185 0.0370 0.0000 x3
Sb 0.0000 0.0000 0.5000 x1

- Density of states at the Fermi level: 0.48 states/eV/atom
- Energy relative to the elements, uncorrected: 0.0615 eV per atom
- Theoretical density: 11395 kg/m3
- Calculated total energy: -0.479 eV/atom

2.
Density functional theory data (PBE-GGA) for an optimized crystal structure of Hg3Sb2.

Cell: 7.6391 7.6391 10.8015 Å, 90.00 90.00 120.00°
Space group R-3m (No. 166, hexagonal axes)
Asymmetric unit:
Hg 0.0000 0.5000 0.0000 x9
Sb 0.0000 0.0000 0.1791 x6

- Relative energy among the computed polymorphs: 0 meV/atom
- Energy relative to the elements, uncorrected: 0.0569 eV per atom
- Theoretical density: 7714 kg/m3
- Calculated total energy: -1.773 eV/atom

3.
Density functional theory data (PBE-GGA) for an optimized crystal structure of Hg3Sb.

Cell: 12.499 3.266 5.755 Å, 90.00 110.41 90.00°
Space group C2/m (No. 12)
Asymmetric unit:
Hg 0.000 0.000 0.000 x2
Hg 0.247 0.000 0.248 x4
Sb 0.000 0.500 0.500 x2

- Density of states at the Fermi level: 0.53 states/eV/atom
- Relative energy among the computed polymorphs: 20 meV/atom
- Energy relative to the elements, uncorrected: 0.1056 eV per atom
- Theoretical density: 10913 kg/m3
- Calculated total energy: -1.151 eV/atom

4.
Density functional theory data (PBE-GGA) for an optimized crystal structure of HgSb2.

Cell: 7.150 7.150 7.150 Å, 90.00 90.00 90.00°
Space group Fm-3m (No. 225)
Asymmetric unit:
Hg 0.000 0.000 0.000 x4
Sb 0.250 0.250 0.250 x8

- Density of states at the Fermi level: 0.27 states/eV/atom
- Relative energy among the computed polymorphs: 283 meV/atom
- Energy relative to the elements, uncorrected: 0.3188 eV per atom
- Theoretical density: 8069 kg/m3
- Calculated total energy: -2.530 eV/atom

5.
Density functional theory data (PBE-GGA) for an optimized crystal structure of HgSb3.

Cell: 8.286 3.268 8.329 Å, 90.00 95.22 90.00°
Space group C2/m (No. 12)
Asymmetric unit:
Hg 0.000 0.000 0.000 x2
Sb 0.000 0.500 0.500 x2
Sb 0.245 0.000 0.755 x4

- Density of states at the Fermi level: 0.47 states/eV/atom
- Relative energy among the computed polymorphs: 8 meV/atom
- Energy relative to the elements, uncorrected: 0.1340 eV per atom
- Theoretical density: 8369 kg/m3
- Calculated total energy: -3.033 eV/atom

6.
Density functional theory data (PBE-GGA) for an optimized crystal structure of Hg3Sb.

Cell: 7.726 8.961 7.413 Å, 90.00 90.00 90.00°
Space group Pnma (No. 62)
Asymmetric unit:
Hg 0.008 0.250 0.198 x4
Hg 0.216 0.583 0.447 x8
Sb 0.210 0.250 0.516 x4

- Density of states at the Fermi level: 0.12 states/eV/atom
- Relative energy among the computed polymorphs: 0 meV/atom
- Energy relative to the elements, uncorrected: 0.0855 eV per atom
- Theoretical density: 9363 kg/m3
- Calculated total energy: -1.171 eV/atom

7.
Density functional theory data (PBE-GGA) for an optimized crystal structure of HgSb3.

Cell: 4.017 4.775 11.668 Å, 90.00 90.00 90.00°
Space group Immm (No. 71)
Asymmetric unit:
Hg 0.000 0.000 0.000 x2
Sb 0.000 0.000 0.500 x2
Sb 0.000 0.500 0.212 x4

- Density of states at the Fermi level: 0.55 states/eV/atom
- Relative energy among the computed polymorphs: 67 meV/atom
- Energy relative to the elements, uncorrected: 0.1932 eV per atom
- Theoretical density: 8397 kg/m3
- Calculated total energy: -2.974 eV/atom

8.
Density functional theory data (PBE-GGA) for an optimized crystal structure of Hg4Sb5.

Cell: 8.7500 8.7500 7.6613 Å, 90.00 90.00 120.00°
Space group P6_3/mcm (No. 193)
Asymmetric unit:
Hg 0.0000 0.0000 0.0000 x2
Hg 0.0000 0.2666 0.2500 x6
Sb 0.0000 0.4007 0.7500 x6
Sb 0.3333 0.6667 0.0000 x4

- Density of states at the Fermi level: 0.46 states/eV/atom
- Relative energy among the computed polymorphs: 0 meV/atom
- Energy relative to the elements, uncorrected: 0.1793 eV per atom
- Theoretical density: 9226 kg/m3
- Calculated total energy: -2.245 eV/atom

9.
Density functional theory data (PBE-GGA) for an optimized crystal structure of HgSb3.

Cell: 3.187 5.218 6.744 Å, 90.00 90.00 90.00°
Space group Pmmm (No. 47)
Asymmetric unit:
Hg 0.000 0.000 0.000 x1
Sb 0.500 0.000 0.500 x1
Sb 0.500 0.500 0.242 x2

- Density of states at the Fermi level: 0.43 states/eV/atom
- Relative energy among the computed polymorphs: 15 meV/atom
- Energy relative to the elements, uncorrected: 0.1416 eV per atom
- Theoretical density: 8379 kg/m3
- Calculated total energy: -3.026 eV/atom

10.
Density functional theory data (PBE-GGA) for an optimized crystal structure of Hg3Sb.

Cell: 3.065 4.378 8.301 Å, 90.00 90.00 90.00°
Space group Pmm2 (No. 25)
Asymmetric unit:
Hg 0.000 0.000 0.000 x1
Hg 0.000 0.500 0.267 x1
Hg 0.500 0.500 0.760 x1
Sb 0.500 0.000 0.506 x1

- Density of states at the Fermi level: 0.42 states/eV/atom
- Relative energy among the computed polymorphs: 25 meV/atom
- Energy relative to the elements, uncorrected: 0.1106 eV per atom
- Theoretical density: 10786 kg/m3
- Calculated total energy: -1.146 eV/atom

11.
Density functional theory data (PBE-GGA) for an optimized crystal structure of Hg3Sb.

Cell: 6.4096 6.4096 5.9249 Å, 90.00 90.00 120.00°
Space group P6_3/mmc (No. 194)
Asymmetric unit:
Hg 0.1673 0.3345 0.2500 x6
Sb 0.3333 0.6667 0.7500 x2

- Density of states at the Fermi level: 0.51 states/eV/atom
- Relative energy among the computed polymorphs: 89 meV/atom
- Energy relative to the elements, uncorrected: 0.1746 eV per atom
- Theoretical density: 11399 kg/m3
- Calculated total energy: -1.082 eV/atom

12.
Density functional theory data (PBE-GGA) for an optimized crystal structure of Hg3Sb4.

Cell: 5.7304 5.7304 6.9203 Å, 90.00 90.00 120.00°
Space group P6/mmm (No. 191)
Asymmetric unit:
Hg 0.0000 0.5000 0.0000 x3
Sb 0.0000 0.0000 0.2972 x2
Sb 0.3333 0.6667 0.5000 x2

- Density of states at the Fermi level: 0.99 states/eV/atom
- Relative energy among the computed polymorphs: 165 meV/atom
- Energy relative to the elements, uncorrected: 0.3223 eV per atom
- Theoretical density: 9187 kg/m3
- Calculated total energy: -2.163 eV/atom